Record 1
The following is a PBE calculation of a relaxed structure of PtSeCl2, from the Alexandria database.

Summary:
Raw total energy, eV/atom: -3.11
ΔE_f (raw), eV per atom: 0.1973
Polymorph energy (0 for the lowest one), meV/atom: 570
DOS(E_F), states/eV/f.u.: 3.5

Cell and atoms, written as CIF:
```
data_PtSeCl2
_symmetry_space_group_name_H-M 'R -3 m'
_symmetry_Int_Tables_number 166
_symmetry_space_group_name_Hall '-R 3 2"'
_cell_length_a 2.9708
_cell_length_b 2.9708
_cell_length_c 37.1639
_cell_angle_alpha 90.00
_cell_angle_beta 90.00
_cell_angle_gamma 120.00
loop_
_atom_site_label
_atom_site_type_symbol
_atom_site_fract_x
_atom_site_fract_y
_atom_site_fract_z
_atom_site_occupancy
Pt1 Pt 0.0000 0.0000 0.0000 1
Se1 Se 0.0000 0.0000 0.5000 1
Cl1 Cl 0.0000 0.0000 0.0602 1
```

***

Record 2
The following is a PBE calculation of a relaxed structure of PtSeCl, from the Alexandria database.

Summary:
Raw total energy, eV/atom: -3.99
ΔE_f (raw), eV per atom: -0.1963

Cell and atoms, written as CIF:
```
data_PtSeCl
_symmetry_space_group_name_H-M 'P 1 21/c 1'
_symmetry_Int_Tables_number 14
_symmetry_space_group_name_Hall '-P 2ybc'
_cell_length_a 7.0501
_cell_length_b 6.7059
_cell_length_c 8.2285
_cell_angle_alpha 90.00
_cell_angle_beta 123.68
_cell_angle_gamma 90.00
loop_
_atom_site_label
_atom_site_type_symbol
_atom_site_fract_x
_atom_site_fract_y
_atom_site_fract_z
_atom_site_occupancy
Pt1 Pt 0.0791 0.1602 0.1261 1
Se1 Se 0.1036 0.6766 0.7307 1
Cl1 Cl 0.3361 0.0827 0.7002 1
```

***

Record 3
The following is a PBE calculation of a relaxed structure of PtSe2Cl8, from the Alexandria database.

Summary:
Raw total energy, eV/atom: -2.78
ΔE_f (raw), eV per atom: -0.2548
DOS(E_F), states/eV/f.u.: 6.3

Cell and atoms, written as CIF:
```
data_PtSe2Cl8
_symmetry_space_group_name_H-M 'C 1 2/m 1'
_symmetry_Int_Tables_number 12
_symmetry_space_group_name_Hall '-C 2y'
_cell_length_a 13.2740
_cell_length_b 6.9677
_cell_length_c 8.1336
_cell_angle_alpha 90.00
_cell_angle_beta 100.07
_cell_angle_gamma 90.00
loop_
_atom_site_label
_atom_site_type_symbol
_atom_site_fract_x
_atom_site_fract_y
_atom_site_fract_z
_atom_site_occupancy
Pt1 Pt 0.0000 0.0000 0.0000 1
Se1 Se 0.2247 0.5000 0.2245 1
Cl1 Cl 0.0912 0.5000 0.3453 1
Cl2 Cl 0.1151 0.2284 0.9513 1
Cl3 Cl 0.1577 0.0000 0.5520 1
```

***

Record 4
The following is a PBE calculation of a relaxed structure of PtSeCl3, from the Alexandria database.

Summary:
Raw total energy, eV/atom: -3.32
ΔE_f (raw), eV per atom: -0.3117
Polymorph energy (0 for the lowest one), meV/atom: 0
DOS(E_F), states/eV/f.u.: 0.8

Cell and atoms, written as CIF:
```
data_PtSeCl3
_symmetry_space_group_name_H-M 'C 1 2/c 1'
_symmetry_Int_Tables_number 15
_symmetry_space_group_name_Hall '-C 2yc'
_cell_length_a 7.6626
_cell_length_b 14.0136
_cell_length_c 12.2197
_cell_angle_alpha 90.00
_cell_angle_beta 98.65
_cell_angle_gamma 90.00
loop_
_atom_site_label
_atom_site_type_symbol
_atom_site_fract_x
_atom_site_fract_y
_atom_site_fract_z
_atom_site_occupancy
Pt1 Pt 0.0644 0.0789 0.1203 1
Se1 Se 0.0140 0.2495 0.3424 1
Cl1 Cl 0.0842 0.1005 0.5601 1
Cl2 Cl 0.1705 0.3870 0.9362 1
Cl3 Cl 0.2016 0.0425 0.3028 1
```

***

Record 5
The following is a PBE calculation of a relaxed structure of PtSeCl2, from the Alexandria database.

Summary:
Raw total energy, eV/atom: -2.40
ΔE_f (raw), eV per atom: 0.9014
Polymorph energy (0 for the lowest one), meV/atom: 1275
DOS(E_F), states/eV/f.u.: 6.8

Cell and atoms, written as CIF:
```
data_PtSeCl2
_symmetry_space_group_name_H-M 'P 4/m m m'
_symmetry_Int_Tables_number 123
_symmetry_space_group_name_Hall '-P 4 2'
_cell_length_a 4.2800
_cell_length_b 4.2800
_cell_length_c 4.1733
_cell_angle_alpha 90.00
_cell_angle_beta 90.00
_cell_angle_gamma 90.00
loop_
_atom_site_label
_atom_site_type_symbol
_atom_site_fract_x
_atom_site_fract_y
_atom_site_fract_z
_atom_site_occupancy
Pt1 Pt 0.0000 0.0000 0.0000 1
Se1 Se 0.5000 0.5000 0.0000 1
Cl1 Cl 0.0000 0.5000 0.5000 1
```

***

Record 6
The following is a PBE calculation of a relaxed structure of PtSeCl2, from the Alexandria database.

Summary:
Raw total energy, eV/atom: -3.15
ΔE_f (raw), eV per atom: 0.1524
Polymorph energy (0 for the lowest one), meV/atom: 526
DOS(E_F), states/eV/f.u.: 3.7

Cell and atoms, written as CIF:
```
data_PtSeCl2
_symmetry_space_group_name_H-M 'I -4 2 d'
_symmetry_Int_Tables_number 122
_symmetry_space_group_name_Hall 'I -4 2bw'
_cell_length_a 9.8625
_cell_length_b 9.8625
_cell_length_c 4.8405
_cell_angle_alpha 90.00
_cell_angle_beta 90.00
_cell_angle_gamma 90.00
loop_
_atom_site_label
_atom_site_type_symbol
_atom_site_fract_x
_atom_site_fract_y
_atom_site_fract_z
_atom_site_occupancy
Pt1 Pt 0.0000 0.0000 0.0000 1
Se1 Se 0.0000 0.0000 0.5000 1
Cl1 Cl 0.0010 0.2500 0.1250 1
```

***

Q: The highest ΔE_f (raw) belongs to which entry?
A: number 5